# 1
Computed, not measured: a relaxed Sm3Ga7Pt2 crystal at the PBE level of DFT.

Cell and atoms, written as POSCAR:
```
Sm3Ga7Pt2
1.0
4.2983 0.0000 0.0000
0.0000 4.2873 0.0000
-2.1310 0.0000 13.3239
Sm Ga Pt
3 7 2
Direct
0.0000 0.0000 0.0000
0.3175 0.5000 0.6391
0.6825 0.5000 0.3609
0.0841 0.5000 0.1637
0.2249 0.0000 0.4499
0.4184 0.0000 0.8363
0.5000 0.5000 0.0000
0.5816 0.0000 0.1637
0.7751 0.0000 0.5501
0.9159 0.5000 0.8363
0.1313 0.0000 0.2638
0.8687 0.0000 0.7362
```

Values from the calculation:
Size of the total moment: 0.0 μB per cell
E_tot: -4.729 eV/atom

=====

# 2
Computed, not measured: a relaxed SmGa8Pt2 crystal at the PBE level of DFT.

Cell and atoms, written as POSCAR:
```
SmGa8Pt2
1.0
5.8029 0.0000 0.0000
0.0000 5.8029 0.0000
0.0000 0.0000 7.7052
Sm Ga Pt
1 8 2
Direct
0.0000 0.0000 0.0000
0.2576 0.2576 0.2894
0.2576 0.2576 0.7106
0.2576 0.7424 0.2894
0.2576 0.7424 0.7106
0.7424 0.2576 0.2894
0.7424 0.2576 0.7106
0.7424 0.7424 0.2894
0.7424 0.7424 0.7106
0.0000 0.5000 0.5000
0.5000 0.0000 0.5000
```

Values from the calculation:
Size of the total moment: 0.0 μB per cell
E_tot: -3.914 eV/atom

=====

# 3
Computed, not measured: a relaxed SmGaPt3 crystal at the PBE level of DFT.

Cell and atoms, written as POSCAR:
```
SmGaPt3
1.0
-2.0464 2.0464 5.6937
2.0464 -2.0464 5.6937
2.0464 2.0464 -5.6937
Sm Ga Pt
1 1 3
Direct
0.0000 0.0000 0.0000
0.3661 0.3661 0.0000
0.2392 0.7392 0.5000
0.5773 0.5773 0.0000
0.7392 0.2392 0.5000
```

Values from the calculation:
Size of the total moment: 0.0 μB per cell
Distance to the lowest polymorph of the same formula: 0.000 eV per atom
E_tot: -6.090 eV/atom

=====

# 4
Computed, not measured: a relaxed Sm2GaPt crystal at the PBE level of DFT.

Cell and atoms, written as POSCAR:
```
Sm2GaPt
1.0
3.6139 0.0000 0.0000
0.0000 3.6139 0.0000
0.0000 0.0000 7.2372
Sm Ga Pt
2 1 1
Direct
0.0000 0.0000 0.2382
0.0000 0.0000 0.7618
0.5000 0.5000 0.5000
0.5000 0.5000 0.0000
```

Values from the calculation:
Size of the total moment: 0.0 μB per cell
E_tot: -5.455 eV/atom

=====

# 5
Computed, not measured: a relaxed Sm3GaPt8 crystal at the PBE level of DFT.

Cell and atoms, written as POSCAR:
```
Sm3GaPt8
1.0
2.7346 1.5788 8.9030
-2.7346 1.5788 8.9030
0.0000 -3.1577 8.9030
Sm Ga Pt
3 1 8
Direct
0.0000 0.0000 0.0000
0.1307 0.1307 0.1307
0.6099 0.6099 0.6099
0.4748 0.4748 0.4748
0.0562 0.5616 0.5616
0.0601 0.0601 0.5648
0.0601 0.5648 0.0601
0.3108 0.3108 0.3108
0.5616 0.0562 0.5616
0.5616 0.5616 0.0562
0.5648 0.0601 0.0601
0.8118 0.8118 0.8118
```

Values from the calculation:
Size of the total moment: 0.0 μB per cell
E_tot: -6.414 eV/atom

=====

# 6
Computed, not measured: a relaxed SmGa2Pt crystal at the PBE level of DFT.

Cell and atoms, written as POSCAR:
```
SmGa2Pt
1.0
2.3850 1.3770 3.8202
-2.3850 1.3770 3.8202
0.0000 -2.7540 3.8202
Sm Ga Pt
1 2 1
Direct
0.0000 0.0000 0.0000
0.2527 0.2527 0.2527
0.7473 0.7473 0.7473
0.5000 0.5000 0.5000
```

Values from the calculation:
Size of the total moment: 0.0 μB per cell
E_tot: -4.825 eV/atom

=====

# 7
Computed, not measured: a relaxed Sm2Ga2Pt crystal at the PBE level of DFT.

Cell and atoms, written as POSCAR:
```
Sm2Ga2Pt
1.0
5.4058 -2.1931 0.0000
5.4058 2.1931 0.0000
-4.8975 0.0000 9.5748
Sm Ga Pt
4 4 2
Direct
0.0088 0.0088 0.3290
0.1908 0.1908 0.1204
0.8092 0.8092 0.8796
0.9912 0.9912 0.6710
0.3538 0.3538 0.4486
0.4770 0.4770 0.1108
0.5230 0.5230 0.8892
0.6462 0.6462 0.5514
0.2742 0.2742 0.6625
0.7258 0.7258 0.3375
```

Values from the calculation:
Size of the total moment: 0.0 μB per cell
E_tot: -5.170 eV/atom

=====

# 8
Computed, not measured: a relaxed SmGa3Pt crystal at the PBE level of DFT.

Cell and atoms, written as POSCAR:
```
SmGa3Pt
1.0
4.1472 0.0000 0.0000
0.0000 4.1472 0.0000
0.0000 0.0000 5.7190
Sm Ga Pt
1 3 1
Direct
0.0000 0.0000 0.0000
0.0000 0.5000 0.4859
0.5000 0.0000 0.4859
0.5000 0.5000 0.7800
0.5000 0.5000 0.2093
```

Values from the calculation:
Size of the total moment: 0.0 μB per cell
Distance to the lowest polymorph of the same formula: 0.067 eV per atom
E_tot: -4.658 eV/atom

=====

# 9
Computed, not measured: a relaxed Sm3Ga9Pt2 crystal at the PBE level of DFT.

Cell and atoms, written as POSCAR:
```
Sm3Ga9Pt2
1.0
-2.1397 5.0464 6.2242
2.1397 -5.0464 6.2242
2.1397 5.0464 -6.2242
Sm Ga Pt
3 9 2
Direct
0.0000 0.0000 0.0000
0.3223 0.3223 0.0000
0.6777 0.6777 0.0000
0.0419 0.6684 0.3735
0.1483 0.8713 0.2770
0.2948 0.6684 0.6265
0.4057 0.1287 0.2770
0.5000 0.0000 0.5000
0.5943 0.8713 0.7230
0.7052 0.3316 0.3735
0.8517 0.1287 0.7230
0.9581 0.3316 0.6265
0.2729 0.5000 0.7729
0.7271 0.5000 0.2271
```

Values from the calculation:
Size of the total moment: 0.0 μB per cell
E_tot: -4.528 eV/atom

=====

# 10
Computed, not measured: a relaxed SmGa3Pt crystal at the PBE level of DFT.

Cell and atoms, written as POSCAR:
```
SmGa3Pt
1.0
-2.0895 2.0895 5.4415
2.0895 -2.0895 5.4415
2.0895 2.0895 -5.4415
Sm Ga Pt
1 3 1
Direct
0.0000 0.0000 0.0000
0.2500 0.7500 0.5000
0.3871 0.3871 0.0000
0.6129 0.6129 0.0000
0.7500 0.2500 0.5000
```

Values from the calculation:
Size of the total moment: 0.0 μB per cell
Distance to the lowest polymorph of the same formula: 0.033 eV per atom
E_tot: -4.692 eV/atom

=====

# 11
Computed, not measured: a relaxed Sm2Ga3Pt crystal at the PBE level of DFT.

Cell and atoms, written as POSCAR:
```
Sm2Ga3Pt
1.0
3.7906 0.0000 0.0000
0.0000 4.4023 0.0000
0.0000 0.0000 7.7481
Sm Ga Pt
2 3 1
Direct
0.0000 0.0000 0.0000
0.0000 0.5000 0.4764
0.5000 0.0000 0.6546
0.5000 0.5000 0.1524
0.5000 0.5000 0.8229
0.5000 0.0000 0.3230
```

Values from the calculation:
Size of the total moment: 0.0 μB per cell
E_tot: -4.941 eV/atom

=====

# 12
Computed, not measured: a relaxed SmGa12Pt6 crystal at the PBE level of DFT.

Cell and atoms, written as POSCAR:
```
SmGa12Pt6
1.0
5.7102 3.2968 2.9480
-5.7102 3.2968 2.9480
0.0000 -6.5936 2.9480
Sm Ga Pt
1 12 6
Direct
0.0000 0.0000 0.0000
0.1106 0.5000 0.8894
0.1106 0.8894 0.5000
0.1435 0.3949 0.3949
0.3949 0.1435 0.3949
0.3949 0.3949 0.1435
0.5000 0.1106 0.8894
0.5000 0.8894 0.1106
0.6051 0.6051 0.8565
0.6051 0.8565 0.6051
0.8565 0.6051 0.6051
0.8894 0.1106 0.5000
0.8894 0.5000 0.1106
0.2842 0.2842 0.7164
0.2842 0.7164 0.2842
0.2836 0.7158 0.7158
0.7164 0.2842 0.2842
0.7158 0.2836 0.7158
0.7158 0.7158 0.2836
```

Values from the calculation:
Size of the total moment: 0.0 μB per cell
E_tot: -4.636 eV/atom

=====

# 13
Computed, not measured: a relaxed Sm8GaPt2 crystal at the PBE level of DFT.

Cell and atoms, written as POSCAR:
```
Sm8GaPt2
1.0
4.3348 -6.7031 0.0000
4.3348 6.7031 0.0000
-1.4862 0.0000 5.5724
Sm Ga Pt
8 1 2
Direct
0.0000 0.0000 0.0000
0.0341 0.2885 0.5773
0.1299 0.5991 0.1854
0.2885 0.0341 0.5773
0.4456 0.6980 0.7754
0.5991 0.1299 0.1854
0.6980 0.4456 0.7754
0.7498 0.7498 0.3805
0.3717 0.3717 0.2764
0.0605 0.6752 0.6876
0.6752 0.0605 0.6876
```

Values from the calculation:
Size of the total moment: 0.0 μB per cell
E_tot: -5.248 eV/atom

=====

# 14
Computed, not measured: a relaxed SmGaPt crystal at the PBE level of DFT.

Cell and atoms, written as POSCAR:
```
SmGaPt
1.0
7.0520 0.0000 0.0000
0.0000 4.4832 0.0000
0.0000 0.0000 7.7946
Sm Ga Pt
4 4 4
Direct
0.0166 0.2500 0.1983
0.4834 0.7500 0.6983
0.5166 0.2500 0.3017
0.9834 0.7500 0.8017
0.1696 0.2500 0.5755
0.3304 0.7500 0.0755
0.6696 0.2500 0.9245
0.8304 0.7500 0.4245
0.2223 0.7500 0.4027
0.2777 0.2500 0.9027
0.7223 0.7500 0.0973
0.7777 0.2500 0.5973
```

Values from the calculation:
Size of the total moment: 0.0 μB per cell
E_tot: -5.665 eV/atom

=====

# 15
Computed, not measured: a relaxed Sm3Ga2SnPt9 crystal at the PBE level of DFT.

Cell and atoms, written as POSCAR:
```
Sm3Ga2SnPt9
1.0
5.6415 0.0000 0.0000
-2.8207 4.8857 0.0000
0.0000 0.0000 12.1586
Sm Ga Sn Pt
3 2 1 9
Direct
0.0000 0.0000 0.0000
0.3333 0.6667 0.7698
0.6667 0.3333 0.2302
0.3333 0.6667 0.1623
0.6667 0.3333 0.8377
0.0000 0.0000 0.5000
0.0000 0.5000 0.0000
0.1656 0.3312 0.3199
0.1656 0.8344 0.3199
0.3312 0.1656 0.6801
0.5000 0.0000 0.0000
0.5000 0.5000 0.0000
0.6688 0.8344 0.3199
0.8344 0.1656 0.6801
0.8344 0.6688 0.6801
```

Values from the calculation:
Size of the total moment: 0.0 μB per cell
E_tot: -5.994 eV/atom

=====

# 16
Computed, not measured: a relaxed Sm2GaSnPt6 crystal at the PBE level of DFT.

Cell and atoms, written as POSCAR:
```
Sm2GaSnPt6
1.0
4.8653 -2.8117 0.0000
4.8653 2.8117 0.0000
-3.2204 0.0000 8.2622
Sm Ga Sn Pt
2 1 1 6
Direct
0.2016 0.2016 0.1059
0.7984 0.7984 0.8941
0.5000 0.5000 0.0000
0.0000 0.0000 0.5000
0.2436 0.7445 0.2340
0.2552 0.2552 0.7658
0.2555 0.7564 0.7660
0.7445 0.2436 0.2340
0.7448 0.7448 0.2342
0.7564 0.2555 0.7660
```

Values from the calculation:
Size of the total moment: 0.0 μB per cell
E_tot: -6.062 eV/atom

=====

# 17
Computed, not measured: a relaxed Sr2SmGa3Pt4 crystal at the PBE level of DFT.

Cell and atoms, written as POSCAR:
```
Sr2SmGa3Pt4
1.0
4.4456 0.0000 0.0000
0.0000 4.4456 0.0000
0.0000 0.0000 11.1889
Sr Sm Ga Pt
2 1 3 4
Direct
0.0000 0.5000 0.2249
0.5000 0.0000 0.7751
0.0000 0.0000 0.5000
0.0000 0.5000 0.8854
0.5000 0.0000 0.1146
0.5000 0.5000 0.5000
0.0000 0.0000 0.0000
0.0000 0.5000 0.6575
0.5000 0.0000 0.3425
0.5000 0.5000 0.0000
```

Values from the calculation:
Size of the total moment: 0.0 μB per cell
E_tot: -5.007 eV/atom

=====

# 18
Computed, not measured: a relaxed SrSmGa2Pt2 crystal at the PBE level of DFT.

Cell and atoms, written as POSCAR:
```
SrSmGa2Pt2
1.0
4.4640 0.0000 0.0000
-2.2320 3.8659 0.0000
0.0000 0.0000 7.9381
Sr Sm Ga Pt
1 1 2 2
Direct
0.0000 0.0000 0.0000
0.0000 0.0000 0.5000
0.3333 0.6667 0.7263
0.6667 0.3333 0.2737
0.3333 0.6667 0.2845
0.6667 0.3333 0.7155
```

Values from the calculation:
Size of the total moment: 0.0 μB per cell
E_tot: -5.039 eV/atom

=====

# 19
Computed, not measured: a relaxed Sm2TaGa3Pt4 crystal at the PBE level of DFT.

Cell and atoms, written as POSCAR:
```
Sm2TaGa3Pt4
1.0
4.2801 0.0000 0.0000
0.0000 4.2801 0.0000
0.0000 0.0000 10.6553
Sm Ta Ga Pt
2 1 3 4
Direct
0.0000 0.5000 0.2428
0.5000 0.0000 0.7572
0.0000 0.0000 0.5000
0.0000 0.5000 0.8699
0.5000 0.0000 0.1301
0.5000 0.5000 0.5000
0.0000 0.0000 0.0000
0.0000 0.5000 0.6383
0.5000 0.0000 0.3617
0.5000 0.5000 0.0000
```

Values from the calculation:
Size of the total moment: 0.0 μB per cell
E_tot: -6.328 eV/atom

=====

# 20
Computed, not measured: a relaxed TbSmGaPt crystal at the PBE level of DFT.

Cell and atoms, written as POSCAR:
```
TbSmGaPt
1.0
4.4019 0.0000 0.0000
0.0000 1.9408 5.5620
0.0000 -1.9408 5.5620
Tb Sm Ga Pt
1 1 1 1
Direct
0.0000 0.0000 0.0000
0.5000 0.7154 0.7154
0.0000 0.2867 0.2867
0.5000 0.4396 0.4396
```

Values from the calculation:
Size of the total moment: 0.0 μB per cell
Distance to the lowest polymorph of the same formula: 0.000 eV per atom
E_tot: -5.507 eV/atom